A relaxed structure of HgWN2F, computed with GGA+U.

Cell and atoms, written as CIF:
```
data_HgWN2F
_symmetry_space_group_name_H-M 'P 4/m m m'
_symmetry_Int_Tables_number 123
_symmetry_space_group_name_Hall '-P 4 2'
_cell_length_a 4.0366
_cell_length_b 4.0366
_cell_length_c 4.1903
_cell_angle_alpha 90.00
_cell_angle_beta 90.00
_cell_angle_gamma 90.00
loop_
_atom_site_label
_atom_site_type_symbol
_atom_site_fract_x
_atom_site_fract_y
_atom_site_fract_z
Hg1 Hg 0.0000 0.0000 0.0000
W1 W 0.5000 0.5000 0.5000
N1 N 0.0000 0.5000 0.5000
F1 F 0.5000 0.5000 0.0000
```

Computed properties:
Density of states at the Fermi level, states/eV/f.u.: 2.89
Calculated density, kg/m3: 10493
Total magnetic moment, Bohr magnetons per cell: 0.00
Offset from the most stable computed form, kJ per mole of atoms: 0.0